No. 1
VASP calculation (PBE-GGA) on a geometry-optimized CuIrRh2 structure.

The final energy comes out at -0.50518 Ry/atom. For the energy of formation, the calculation gives 0.04 eV per atom.

a = 4.669 Å, b = 4.669 Å, c = 4.669 Å
α = 131.95°, β = 131.95°, γ = 70.31°
Sites, in units of the cell vectors:
Cu1 0.000 0.000 0.000
Ir1 0.500 0.500 0.000
Rh1 0.250 0.750 0.500
Rh2 0.750 0.250 0.500

***

No. 2
VASP calculation (PBE-GGA) on a geometry-optimized CuIrRh structure.

The final energy comes out at -0.47944 Ry/atom. For the energy of formation, the calculation gives 0.25 eV per atom.

a = 4.242 Å, b = 4.242 Å, c = 2.678 Å
α = 90.00°, β = 90.00°, γ = 120.00°
Sites, in units of the cell vectors:
Cu1 0.000 0.000 0.000
Ir1 0.333 0.667 0.287
Rh1 0.667 0.333 0.762

***

No. 3
VASP calculation (PBE-GGA) on a geometry-optimized Cu4IrRh structure.

The final energy comes out at -0.38655 Ry/atom. For the energy of formation, the calculation gives 0.17 eV per atom.

a = 4.760 Å, b = 4.760 Å, c = 4.760 Å
α = 60.00°, β = 60.00°, γ = 60.00°
Sites, in units of the cell vectors:
Cu1 0.125 0.125 0.125
Cu2 0.125 0.125 0.625
Cu3 0.125 0.625 0.125
Cu4 0.625 0.125 0.125
Ir1 0.750 0.750 0.750
Rh1 0.500 0.500 0.500

***

No. 4
VASP calculation (PBE-GGA) on a geometry-optimized CuIr2Rh structure.

The final energy comes out at -0.53197 Ry/atom. For the energy of formation, the calculation gives 0.05 eV per atom.

a = 4.656 Å, b = 4.656 Å, c = 4.664 Å
α = 99.46°, β = 99.46°, γ = 34.03°
Sites, in units of the cell vectors:
Cu1 0.000 0.000 0.000
Ir1 0.498 0.498 0.496
Ir2 0.752 0.752 0.261
Rh1 0.247 0.247 0.763

***

No. 5
VASP calculation (PBE-GGA) on a geometry-optimized CuIrRh2 structure.

The final energy comes out at -0.49376 Ry/atom. For the energy of formation, the calculation gives 0.20 eV per atom.

a = 4.551 Å, b = 4.551 Å, c = 2.734 Å
α = 90.00°, β = 90.00°, γ = 90.00°
Sites, in units of the cell vectors:
Cu1 0.000 0.000 0.000
Ir1 0.500 0.500 0.000
Rh1 0.000 0.500 0.500
Rh2 0.500 0.000 0.500

***

No. 6
VASP calculation (PBE-GGA) on a geometry-optimized CuIrRh2 structure.

The final energy comes out at -0.49324 Ry/atom. For the energy of formation, the calculation gives 0.20 eV per atom.

a = 2.691 Å, b = 2.691 Å, c = 9.053 Å
α = 90.00°, β = 90.00°, γ = 119.80°
Sites, in units of the cell vectors:
Cu1 0.000 0.000 0.000
Ir1 0.000 0.000 0.500
Rh1 0.500 0.500 0.245
Rh2 0.500 0.500 0.755

***

No. 7
VASP calculation (PBE-GGA) on a geometry-optimized CuIrRh2 structure.

The final energy comes out at -0.48780 Ry/atom. For the energy of formation, the calculation gives 0.28 eV per atom.

a = 4.312 Å, b = 4.312 Å, c = 4.312 Å
α = 60.00°, β = 60.00°, γ = 60.00°
Sites, in units of the cell vectors:
Cu1 0.000 0.000 0.000
Ir1 0.500 0.500 0.500
Rh1 0.250 0.250 0.250
Rh2 0.750 0.750 0.750

***

No. 8
VASP calculation (PBE-GGA) on a geometry-optimized Cu2Ir5Rh4 structure.

The final energy comes out at -0.53106 Ry/atom. For the energy of formation, the calculation gives 0.22 eV per atom.

a = 9.133 Å, b = 9.133 Å, c = 6.623 Å
α = 99.44°, β = 99.44°, γ = 17.08°
Sites, in units of the cell vectors:
Cu1 0.093 0.093 0.233
Cu2 0.907 0.907 0.767
Ir1 0.139 0.139 0.610
Ir2 0.234 0.234 0.325
Ir3 0.500 0.500 0.500
Ir4 0.766 0.766 0.675
Ir5 0.861 0.861 0.390
Rh1 0.044 0.044 0.857
Rh2 0.321 0.321 0.026
Rh3 0.679 0.679 0.974
Rh4 0.956 0.956 0.143

***

No. 9
VASP calculation (PBE-GGA) on a geometry-optimized CuIr2Rh2 structure.

The final energy comes out at -0.49866 Ry/atom. For the energy of formation, the calculation gives 0.52 eV per atom.

a = 6.686 Å, b = 6.686 Å, c = 6.686 Å
α = 148.86°, β = 148.86°, γ = 44.62°
Sites, in units of the cell vectors:
Cu1 0.000 0.000 0.000
Ir1 0.402 0.402 0.000
Ir2 0.598 0.598 0.000
Rh1 0.250 0.750 0.500
Rh2 0.750 0.250 0.500

***

No. 10
VASP calculation (PBE-GGA) on a geometry-optimized CuIr5Rh8 structure.

The final energy comes out at -0.53689 Ry/atom. For the energy of formation, the calculation gives 0.35 eV per atom.

a = 6.500 Å, b = 6.500 Å, c = 6.500 Å
α = 110.63°, β = 110.63°, γ = 107.19°
Sites, in units of the cell vectors:
Cu1 0.000 0.000 0.000
Ir1 0.313 0.630 0.097
Ir2 0.370 0.467 0.683
Ir3 0.533 0.216 0.903
Ir4 0.750 0.250 0.500
Ir5 0.784 0.687 0.317
Rh1 0.019 0.421 0.264
Rh2 0.068 0.144 0.723
Rh3 0.157 0.754 0.736
Rh4 0.246 0.981 0.403
Rh5 0.421 0.345 0.277
Rh6 0.579 0.843 0.597
Rh7 0.655 0.932 0.076
Rh8 0.856 0.579 0.924

***

No. 11
VASP calculation (PBE-GGA) on a geometry-optimized CuIrRh structure.

The final energy comes out at -0.48389 Ry/atom. For the energy of formation, the calculation gives 0.19 eV per atom.

a = 4.331 Å, b = 4.331 Å, c = 5.211 Å
α = 90.00°, β = 90.00°, γ = 120.00°
Sites, in units of the cell vectors:
Cu1 0.333 0.667 0.000
Cu2 0.667 0.333 0.000
Ir1 0.333 0.667 0.500
Ir2 0.667 0.333 0.500
Rh1 0.000 0.000 0.252
Rh2 0.000 0.000 0.748

***

No. 12
VASP calculation (PBE-GGA) on a geometry-optimized CuIr2Rh8 structure.

The final energy comes out at -0.51664 Ry/atom. For the energy of formation, the calculation gives 0.30 eV per atom.

a = 6.375 Å, b = 6.375 Å, c = 4.204 Å
α = 90.00°, β = 90.00°, γ = 103.18°
Sites, in units of the cell vectors:
Cu1 0.000 0.000 0.000
Ir1 0.375 0.625 0.500
Ir2 0.625 0.375 0.500
Rh1 0.032 0.300 0.500
Rh2 0.243 0.757 0.000
Rh3 0.300 0.032 0.500
Rh4 0.330 0.330 0.000
Rh5 0.670 0.670 0.000
Rh6 0.700 0.968 0.500
Rh7 0.757 0.243 0.000
Rh8 0.968 0.700 0.500

***

Density of states at the Fermi level across the listed records, respectively: 5.40; 4.69; 6.19; 4.20; 6.38; 5.72; 7.64; 14.95; 5.67; 18.59; 5.47; 21.04 states/eV/f.u..